# NdEr4Ru5 PBE optimized geometry
# * total magnetic moment: 0.00 μB per cell
# * E: -7.255 eV per atom
# * space group: No. 123
# * energy relative to the elements: -30.4 kJ per mole of atoms
data_NdEr4Ru5
_space_group_name_H-M_alt 'P 1'
_space_group_IT_number 1
_cell_length_a 3.399
_cell_length_b 3.399
_cell_length_c 16.973
_cell_angle_alpha 90.00
_cell_angle_beta 90.00
_cell_angle_gamma 90.00
loop_
_space_group_symop_operation_xyz
'x,y,z'
loop_
_atom_site_label
_atom_site_type_symbol
_atom_site_fract_x
_atom_site_fract_y
_atom_site_fract_z
Nd1 Nd 0.000 0.000 0.000
Er1 Er 0.000 0.000 0.205
Er2 Er 0.000 0.000 0.401
Er3 Er 0.000 0.000 0.599
Er4 Er 0.000 0.000 0.795
Ru1 Ru 0.500 0.500 0.106
Ru2 Ru 0.500 0.500 0.303
Ru3 Ru 0.500 0.500 0.500
Ru4 Ru 0.500 0.500 0.697
Ru5 Ru 0.500 0.500 0.894